No. 1
NaHfSe2N: optimized geometry, PBE.

Cell: 5.0218 5.0218 4.0002 Å, 90.00 90.00 90.00°
Each line ends with the local moment (μB).
Positions (direct):
N: 0.0000 0.0000 0.5000  1.44
Se: 0.5000 0.0000 0.0000  0.20
Hf: 0.5000 0.5000 0.5000  -0.38
Na: 0.0000 0.0000 0.0000  0.04
Se: 0.0000 0.5000 0.0000  0.20

## Properties
The calculation puts the energy relative to the lowest polymorph listed for this composition at 1478 meV/atom. Its space group is P4/mmm, No. 123. The density comes out at 6.15 g/cm3.



No. 2
NaHfSiN3: optimized geometry, PBE.

Cell: 3.1408 6.6089 8.7868 Å, 94.77 90.00 90.00°
Positions (direct):
N: 0.7500 0.1514 0.4844
N: 0.2500 0.1886 0.7690
N: 0.7500 0.3891 0.1000
Hf: 0.7500 0.3868 0.8697
Na: 0.7500 0.8606 0.8015
N: 0.2500 0.8486 0.5156
Hf: 0.2500 0.6132 0.1303
Na: 0.2500 0.1394 0.1985
Si: 0.2500 0.1201 0.5798
N: 0.2500 0.6109 0.9000
Si: 0.7500 0.8799 0.4202
N: 0.7500 0.8114 0.2310

## Properties
As for the final energy: -95.43 eV for the cell shown. Its space group is P2_1/m, No. 11. The density comes out at 4.96 g/cm3.



No. 3
Na3HfTa2N6: optimized geometry, PBE.

Cell: 5.5187 5.5187 5.9802 Å, 98.85 98.85 120.00°
Positions (direct):
N: 0.9356 0.5930 0.8069
N: 0.4070 0.0644 0.1931
Hf: 0.0000 0.0000 0.0000
N: 0.7218 0.7218 0.1934
Na: 0.1665 0.8335 0.5000
N: 0.2782 0.2782 0.8066
N: 0.5930 0.9356 0.8069
N: 0.0644 0.4070 0.1931
Ta: 0.3333 0.6667 0.0000
Na: 0.5000 0.5000 0.5000
Na: 0.8335 0.1665 0.5000
Ta: 0.6667 0.3333 0.0000

## Properties
As for the final energy: -98.33 eV for the cell shown. Its space group is C2/m, No. 12. The density comes out at 7.67 g/cm3.



No. 4
NaHfTcN3: optimized geometry, PBE.

Cell: 3.2474 8.9433 6.0770 Å, 104.32 90.00 90.00°
Positions (direct):
Na: 0.2500 0.3284 0.3537
N: 0.7500 0.8040 0.0588
Hf: 0.7500 0.3586 0.8709
Hf: 0.2500 0.6414 0.1291
N: 0.2500 0.1960 0.9412
N: 0.7500 0.5090 0.2001
N: 0.7500 0.1646 0.5216
N: 0.2500 0.4910 0.7999
Tc: 0.2500 0.0719 0.6553
N: 0.2500 0.8354 0.4784
Na: 0.7500 0.6716 0.6463
Tc: 0.7500 0.9281 0.3447

## Properties
As for the final energy: -100.68 eV for the cell shown. Its space group is P2_1/m, No. 11. The density comes out at 6.63 g/cm3.



No. 5
Na3Hf2UN6: optimized geometry, PBE.

Cell: 5.7671 5.7671 6.0044 Å, 99.24 99.24 119.98°
Positions (direct):
N: 0.6069 0.9367 0.8106
Na: 0.5000 0.5000 0.5000
Hf: 0.3335 0.6665 0.0000
Hf: 0.6665 0.3335 0.0000
Na: 0.8293 0.1707 0.5000
N: 0.3931 0.0633 0.1894
N: 0.0633 0.3931 0.1894
N: 0.2669 0.2669 0.8101
U: 0.0000 0.0000 0.0000
N: 0.9367 0.6069 0.8106
Na: 0.1707 0.8293 0.5000
N: 0.7331 0.7331 0.1899

## Properties
As for the final energy: -97.85 eV for the cell shown. Its space group is C2/m, No. 12. The density comes out at 7.58 g/cm3.



No. 6
Na3HfU2N6: optimized geometry, PBE.

Cell: 5.9088 5.9088 6.0266 Å, 99.37 99.37 120.02°
Each line ends with the local moment (μB).
Positions (direct):
N: 0.3967 0.0618 0.1849  -0.02
N: 0.0618 0.3967 0.1849  -0.02
U: 0.6667 0.3333 0.0000  0.54
Na: 0.5000 0.5000 0.5000  0.00
N: 0.6033 0.9382 0.8151  -0.02
N: 0.9382 0.6033 0.8151  -0.02
Na: 0.1639 0.8361 0.5000  0.00
N: 0.2730 0.2730 0.8143  -0.02
Hf: 0.0000 0.0000 0.0000  0.02
U: 0.3333 0.6667 0.0000  0.54
N: 0.7270 0.7270 0.1857  -0.02
Na: 0.8361 0.1639 0.5000  0.00

## Properties
As for the final energy: -99.81 eV for the cell shown. Its space group is C2/m, No. 12. The density comes out at 7.79 g/cm3.



| no. | M_tot (Bohr magnetons per cell) | calculated volume (Å³/f.u.) |
| --- | --- | --- |
| 1 | 2.1 | 101 |
| 2 | 0.0 | 91 |
| 3 | 0.0 | 150 |
| 4 | 0.0 | 86 |
| 5 | 0.0 | 164 |
| 6 | 1.1 | 172 |